[1]
A plane-wave DFT calculation with PBE was carried out for a relaxed Ca2ZnIr2 crystal.

Structure (CIF):
```
data_Ca2ZnIr2
_chemical_formula_sum 'Ca4 Zn2 Ir4'
_cell_length_a 6.7503
_cell_length_b 6.7503
_cell_length_c 4.4874
_cell_angle_alpha 90.00
_cell_angle_beta 90.00
_cell_angle_gamma 90.00
_space_group_name_H-M_alt 'P 4/m b m'
_space_group_IT_number 127
_space_group_name_Hall '-P 4 2ab'
loop_
_atom_site_label
_atom_site_type_symbol
_atom_site_fract_x
_atom_site_fract_y
_atom_site_fract_z
Ca1 Ca 0.1729 0.3271 0.0000
Zn1 Zn 0.0000 0.0000 0.5000
Ir1 Ir 0.1332 0.6332 0.5000
```

Values from the calculation:
The value obtained for the formation enthalpy at 0 K is -0.323 eV/atom. For the density of states at the Fermi level, the calculation gives 4.8 states/eV per cell.

[2]
A plane-wave DFT calculation with PBE was carried out for a relaxed CaZn2Ir crystal.

Structure (CIF):
```
data_CaZn2Ir
_chemical_formula_sum 'Ca4 Zn8 Ir4'
_cell_length_a 6.5618
_cell_length_b 6.5618
_cell_length_c 6.5618
_cell_angle_alpha 90.00
_cell_angle_beta 90.00
_cell_angle_gamma 90.00
_space_group_name_H-M_alt 'F -4 3 m'
_space_group_IT_number 216
_space_group_name_Hall 'F -4 2 3'
loop_
_atom_site_label
_atom_site_type_symbol
_atom_site_fract_x
_atom_site_fract_y
_atom_site_fract_z
Ca1 Ca 0.0000 0.0000 0.0000
Zn1 Zn 0.0000 0.0000 0.5000
Zn2 Zn 0.2500 0.2500 0.7500
Ir1 Ir 0.2500 0.2500 0.2500
```

Values from the calculation:
The value obtained for the formation enthalpy at 0 K is -0.066 eV/atom. For the density of states at the Fermi level, the calculation gives 4.4 states/eV per cell.

[3]
A plane-wave DFT calculation with PBE was carried out for a relaxed CaZnIr2 crystal.

Structure (CIF):
```
data_CaZnIr2
_chemical_formula_sum 'Ca4 Zn4 Ir8'
_cell_length_a 4.7459
_cell_length_b 4.7459
_cell_length_c 17.3747
_cell_angle_alpha 90.00
_cell_angle_beta 90.00
_cell_angle_gamma 90.00
_space_group_name_H-M_alt 'I 41/a m d'
_space_group_IT_number 141
loop_
_space_group_symop_operation_xyz
'x,y,z'
'-x,-y,-z'
'-y+1/4,x+3/4,z+1/4'
'y+1/4,-x+3/4,-z+1/4'
'-x+1/2,-y,z+1/2'
'x+1/2,y,-z+1/2'
'y+1/4,-x+1/4,z+3/4'
'-y+1/4,x+1/4,-z+3/4'
'x,-y,-z'
'-x,y,z'
'-y+1/4,-x+1/4,-z+3/4'
'y+1/4,x+1/4,z+3/4'
'-x+1/2,y,-z+1/2'
'x+1/2,-y,z+1/2'
'y+1/4,x+3/4,-z+1/4'
'-y+1/4,-x+3/4,z+1/4'
'x+1/2,y+1/2,z+1/2'
'-x+1/2,-y+1/2,-z+1/2'
'-y+3/4,x+1/4,z+3/4'
'y+3/4,-x+1/4,-z+3/4'
'-x,-y+1/2,z'
'x,y+1/2,-z'
'y+3/4,-x+3/4,z+1/4'
'-y+3/4,x+3/4,-z+1/4'
'x+1/2,-y+1/2,-z+1/2'
'-x+1/2,y+1/2,z+1/2'
'-y+3/4,-x+3/4,-z+1/4'
'y+3/4,x+3/4,z+1/4'
'-x,y+1/2,-z'
'x,-y+1/2,z'
'y+3/4,x+1/4,-z+3/4'
'-y+3/4,-x+1/4,z+3/4'
loop_
_atom_site_label
_atom_site_type_symbol
_atom_site_fract_x
_atom_site_fract_y
_atom_site_fract_z
Ca1 Ca 0.0000 0.2500 0.3750
Zn1 Zn 0.0000 0.2500 0.8750
Ir1 Ir 0.0000 0.0000 0.0000
```

Values from the calculation:
The value obtained for the formation enthalpy at 0 K is 0.132 eV/atom. For the density of states at the Fermi level, the calculation gives 7.3 states/eV per cell.

Number 1: theoretical density 8.6 g cm⁻³. Number 2: theoretical density 8.5 g cm⁻³. Number 3: theoretical density 8.3 g cm⁻³.